Entry 1:
Ca3HfSe | PBE | optimized geometry

a b c (Å): 5.7260 5.7260 5.7260
angles (deg): 90.00 90.00 90.00
Last column: nearest neighbours and their distance in Å.
Fractional positions:
Ca  0.5000  0.0000  0.0000  2 Hf 2.86
Ca  0.0000  0.0000  0.5000  2 Hf 2.86
Ca  0.0000  0.5000  0.0000  2 Hf 2.86
Hf  0.0000  0.0000  0.0000  6 Ca 2.86
Se  0.5000  0.5000  0.5000  12 Ca 4.05

Computed properties:
DOS(E_F): 1.86 states/eV/atom

Entry 2:
CaHfSe3 | PBE | optimized geometry

a b c (Å): 3.8622 8.8689 14.6066
angles (deg): 90.00 90.00 90.00
Last column: nearest neighbours and their distance in Å.
Fractional positions:
Ca  0.7500  0.1003  0.7004  7 Se 2.97-3.13
Ca  0.2500  0.3997  0.2004  7 Se 2.97-3.13
Ca  0.2500  0.8997  0.2996  7 Se 2.97-3.13
Ca  0.7500  0.6003  0.7996  7 Se 2.97-3.13
Se  0.2500  0.9980  0.1050  3 Hf 2.70-2.78, 1 Ca 2.97
Se  0.7500  0.6768  0.2044  1 Hf 2.61
Se  0.2500  0.4980  0.3950  3 Hf 2.70-2.78, 1 Ca 2.97
Se  0.2500  0.8232  0.7044  1 Hf 2.61
Se  0.7500  0.1768  0.2956  1 Hf 2.61
Se  0.7500  0.5020  0.6050  3 Hf 2.70-2.78, 1 Ca 2.97
Se  0.7500  0.0020  0.8950  3 Hf 2.70-2.78, 1 Ca 2.97
Se  0.7500  0.8397  0.4594  2 Hf 2.66
Se  0.7500  0.3397  0.0406  2 Hf 2.66
Se  0.2500  0.3232  0.7956  1 Hf 2.61
Se  0.2500  0.6603  0.9594  2 Hf 2.66
Se  0.2500  0.1603  0.5406  2 Hf 2.66
Hf  0.7500  0.8102  0.0454  6 Se 2.61-2.78
Hf  0.7500  0.3102  0.4546  6 Se 2.61-2.78
Hf  0.2500  0.6898  0.5454  6 Se 2.61-2.78
Hf  0.2500  0.1898  0.9546  6 Se 2.61-2.78

Here are the calculated magnetization numbers, same order: 3.2; 0.0 (μB/f.u.).
Here are the calculated E_form (uncorrected) numbers, same order: 397; -743 (kJ/mol of formula units).
Here are the calculated energy relative to the lowest polymorph listed for this composition numbers, same order: 4.442; 0.000 (eV/f.u.).